Compound: CrTeOs
Source: Alexandria
Functional: SCAN
Structure: PBEsol geometry

Calculated values
V = 47.17 Å³/cell
total DFT energy (no corrections) = -125.74 eV for the cell shown
SG = I4mm (107)
E_form (uncorrected) = 590.6 meV per atom
Fermi-level density of states = 0.5082 states/eV/atom

Geometry as extended XYZ:
```
3
Lattice="-1.479 1.479 5.394 1.479 -1.479 5.394 1.479 1.479 -5.394" Properties=species:S:1:pos:R:3 pbc="T T T"
Cr 0.000 0.000 0.000
Te 0.000 0.000 3.528
Os 0.000 0.000 6.813
```